Record 1
Density functional theory data (GGA-PBE) for crystalline TlW at its relaxed geometry.

The calculation puts the density of states at the Fermi level at 7.879 states/eV per cell. Its formation energy from the elements is 2.00 eV per formula unit. As for the energy above the most stable polymorph in this dataset: 0.375 eV/atom. For the volume, the calculation gives 44.17 Å³/f.u.

The space group is R-3m (No. 166, hexagonal axes) and the conventional cell measures 4.4828, 4.4828 and 15.2280 Å, with angles of 90.00, 90.00 and 120.00 degrees. Symmetry generates all atoms from Tl at (0.0000, 0.0000, 0.1110) and W at (0.0000, 0.0000, 0.3245).

=====

Record 2
Density functional theory data (GGA-PBE) for crystalline Sr2Zn2Ge at its relaxed geometry.

The calculation puts the density of states at the Fermi level at 5.157 states/eV per cell. Its formation energy from the elements is -1.53 eV per formula unit. As for the energy above the most stable polymorph in this dataset: 0.076 eV/atom. For the volume, the calculation gives 135.48 Å³/f.u.

The space group is Amm2 (No. 38) and the conventional cell measures 4.551, 4.352 and 13.679 Å, with angles of 90.00, 90.00 and 90.00 degrees. Symmetry generates all atoms from Sr at (0.000, 0.000, 0.000), Sr at (0.000, 0.000, 0.260), Zn at (0.500, 0.000, 0.435), Zn at (0.500, 0.000, 0.631) and Ge at (0.500, 0.000, 0.827).

=====

Record 3
Density functional theory data (GGA-PBE) for crystalline CsSrFePb2 at its relaxed geometry.

The calculation puts the density of states at the Fermi level at 5.791 states/eV per cell. Its formation energy from the elements is 4.28 eV per formula unit. For the volume, the calculation gives 230.11 Å³/f.u.

The space group is P4/mmm (No. 123) and the conventional cell measures 6.392, 6.392 and 5.632 Å, with angles of 90.00, 90.00 and 90.00 degrees. Symmetry generates all atoms from Cs at (0.000, 0.000, 0.000), Sr at (0.500, 0.500, 0.500), Fe at (0.500, 0.500, 0.000) and Pb at (0.000, 0.500, 0.500).

=====

Record 4
Density functional theory data (GGA-PBE) for crystalline La3OsC3 at its relaxed geometry.

The calculation puts the density of states at the Fermi level at 14.553 states/eV per cell. Its formation energy from the elements is -1.24 eV per formula unit. For the volume, the calculation gives 136.37 Å³/f.u.

The space group is Cmcm (No. 63) and the conventional cell measures 8.997, 10.978 and 5.523 Å, with angles of 90.00, 90.00 and 90.00 degrees. Symmetry generates all atoms from La at (0.000, 0.109, 0.250), La at (0.207, 0.378, 0.250), Os at (0.000, 0.302, 0.750), C at (0.000, 0.124, 0.750) and C at (0.197, 0.370, 0.750).

=====

Record 5
Density functional theory data (GGA-PBE) for crystalline BaLiRe4 at its relaxed geometry.

The calculation puts the density of states at the Fermi level at 22.270 states/eV per cell. Its formation energy from the elements is 4.96 eV per formula unit. For the volume, the calculation gives 114.66 Å³/f.u.

The space group is F-43m (No. 216) and the conventional cell measures 7.712, 7.712 and 7.712 Å, with angles of 90.00, 90.00 and 90.00 degrees. Symmetry generates all atoms from Ba at (0.000, 0.000, 0.000), Li at (0.250, 0.250, 0.750) and Re at (0.124, 0.124, 0.376).

=====

Record 6
Density functional theory data (GGA-PBE) for crystalline Cs3Rb2O2 at its relaxed geometry.

The calculation puts the density of states at the Fermi level at 1.939 states/eV per cell. As for the uncorrected formation energy: -72.4 kJ per mole of atoms. For the volume, the calculation gives 318.76 Å³/f.u.

The space group is P2/m (No. 10) and the conventional cell measures 4.391, 5.660 and 13.004 Å, with angles of 90.00, 99.46 and 90.00 degrees. Symmetry generates all atoms from Cs at (0.000, 0.000, 0.000), Cs at (0.160, 0.000, 0.324), Rb at (0.416, 0.500, 0.823) and O at (0.406, 0.000, 0.813).